Th3CoRh2 | PBE | optimized geometry

Cell lengths 7.0306, 7.0306, 7.0306 Å; angles 146.63, 131.84, 59.86 degrees
Element x y z (fractional)
Th1 0.0000 0.0000 0.0000
Th2 0.3420 0.3420 0.0000
Th3 0.6580 0.6580 0.0000
Co1 0.5000 0.0000 0.5000
Rh1 0.1692 0.6692 0.5000
Rh2 0.8308 0.3308 0.5000

---

TmThCoRh | PBE | optimized geometry

Cell lengths 4.8701, 4.8701, 4.8701 Å; angles 60.00, 60.00, 60.00 degrees
Element x y z (fractional)
Tm1 0.0000 0.0000 0.0000
Th1 0.5000 0.5000 0.5000
Co1 0.7500 0.7500 0.7500
Rh1 0.2500 0.2500 0.2500

---

Th2ZnCoRh | PBE | optimized geometry

Cell lengths 7.1997, 7.1997, 4.7400 Å; angles 90.00, 90.00, 115.70 degrees
Element x y z (fractional)
Th1 0.1119 0.3511 0.2500
Th2 0.3511 0.1119 0.7500
Th3 0.6489 0.8881 0.2500
Th4 0.8881 0.6489 0.7500
Zn1 0.3519 0.6481 0.7500
Zn2 0.6481 0.3519 0.2500
Co1 0.0279 0.9721 0.2500
Co2 0.9721 0.0279 0.7500
Rh1 0.2370 0.7630 0.2500
Rh2 0.7630 0.2370 0.7500

---

Ti8Co3Rh2 | PBE | optimized geometry

Cell lengths 6.6832, 6.6832, 5.2508 Å; angles 96.92, 96.92, 62.08 degrees
Element x y z (fractional)
Ti1 0.0855 0.6894 0.1100
Ti2 0.0942 0.0942 0.3992
Ti3 0.3106 0.9145 0.8900
Ti4 0.3293 0.3293 0.6821
Ti5 0.6707 0.6707 0.3179
Ti6 0.6894 0.0855 0.1100
Ti7 0.9058 0.9058 0.6008
Ti8 0.9145 0.3106 0.8900
Co1 0.3184 0.6816 0.5000
Co2 0.5000 0.5000 0.0000
Co3 0.6816 0.3184 0.5000
Rh1 0.2821 0.2821 0.1935
Rh2 0.7179 0.7179 0.8065

---

Ti6Co2Rh | PBE | optimized geometry

Cell lengths 4.9956, 6.5879, 9.8115 Å; angles 90.00, 120.11, 90.00 degrees
Element x y z (fractional)
Ti1 0.0544 0.2322 0.4211
Ti2 0.0544 0.2678 0.9211
Ti3 0.2845 0.6359 0.4542
Ti4 0.2845 0.8641 0.9542
Ti5 0.4055 0.0890 0.2345
Ti6 0.4055 0.4110 0.7345
Ti7 0.5945 0.5890 0.2655
Ti8 0.5945 0.9110 0.7655
Ti9 0.7155 0.1359 0.0458
Ti10 0.7155 0.3641 0.5458
Ti11 0.9456 0.7322 0.0789
Ti12 0.9456 0.7678 0.5789
Co1 0.1069 0.0899 0.7200
Co2 0.1069 0.4101 0.2200
Co3 0.8931 0.5899 0.7800
Co4 0.8931 0.9101 0.2800
Rh1 0.5000 0.0000 0.5000
Rh2 0.5000 0.5000 0.0000

Energy above the lowest structure with this stoichiometry (eV/atom): 0.162

---

Ti11Co9Rh4 | PBE | optimized geometry

Cell lengths 10.9170, 10.9170, 2.9033 Å; angles 90.00, 90.00, 108.82 degrees
Element x y z (fractional)
Ti1 0.0000 0.0000 0.0000
Ti2 0.0649 0.4100 0.0000
Ti3 0.1887 0.8113 0.0000
Ti4 0.2002 0.2002 0.0000
Ti5 0.3674 0.6326 0.0000
Ti6 0.4100 0.0649 0.0000
Ti7 0.5900 0.9351 0.0000
Ti8 0.6326 0.3674 0.0000
Ti9 0.7998 0.7998 0.0000
Ti10 0.8113 0.1887 0.0000
Ti11 0.9351 0.5900 0.0000
Co1 0.0042 0.2133 0.5000
Co2 0.1536 0.6175 0.5000
Co3 0.2133 0.0042 0.5000
Co4 0.3825 0.8464 0.5000
Co5 0.5000 0.5000 0.5000
Co6 0.6175 0.1536 0.5000
Co7 0.7867 0.9958 0.5000
Co8 0.8464 0.3825 0.5000
Co9 0.9958 0.7867 0.5000
Rh1 0.2569 0.4135 0.5000
Rh2 0.4135 0.2569 0.5000
Rh3 0.5865 0.7431 0.5000
Rh4 0.7431 0.5865 0.5000

---

Listing formation energy for the structures above in their given order: -0.679 -0.495 -0.455 -0.175 -0.190 -0.433 eV per atom.